GGA-PBE Sr2YAg, relaxed; total DFT energy (no corrections) = -11.7 eV per cell; DOS at the Fermi energy = 4.40 states/eV/cell
1.0
0.000 4.156 4.156
4.156 0.000 4.156
4.156 4.156 0.000
Sr Y Ag
2 1 1
direct
0.250 0.250 0.250 Sr
0.750 0.750 0.750 Sr
0.000 0.000 0.000 Y
0.500 0.500 0.500 Ag